No. 1
Material: LaC
Method: DFT, GGA-PBE
State: optimized geometry

It has space group Cm (No. 8), with a = 7.140 Å, b = 3.924 Å, c = 7.064 Å, α = 90.00°, β = 100.59° and γ = 90.00°. The distinct sites, in fractional coordinates, are La at (0.000, 0.000, 0.000), La at (0.215, 0.000, 0.470), C at (0.015, 0.500, 0.285) and C at (0.347, 0.000, 0.158).

The value obtained for the formation energy is 3 meV/atom. The total magnetization comes out at 0.00 μB per formula unit. The calculation puts the distance to the lowest polymorph of the same formula at 0.179 eV per atom.

---

No. 2
Material: LaC
Method: DFT, GGA-PBE
State: optimized geometry

It has space group I4/mmm (No. 139), with a = 4.111 Å, b = 4.111 Å, c = 4.789 Å, α = 90.00°, β = 90.00° and γ = 90.00°. The distinct sites, in fractional coordinates, are La at (0.000, 0.000, 0.000) and C at (0.000, 0.000, 0.500).

The value obtained for the formation energy is 303 meV/atom. The total magnetization comes out at 0.00 μB per formula unit. The calculation puts the distance to the lowest polymorph of the same formula at 0.480 eV per atom.

---

No. 3
Material: La4C23
Method: DFT, GGA-PBE
State: optimized geometry

It has space group Pm-3n (No. 223), with a = 7.615 Å, b = 7.615 Å, c = 7.615 Å, α = 90.00°, β = 90.00° and γ = 90.00°. The distinct sites, in fractional coordinates, are La at (0.000, 0.000, 0.000), La at (0.000, 0.250, 0.500), C at (0.000, 0.297, 0.176), C at (0.000, 0.500, 0.250) and C at (0.189, 0.189, 0.189).

The value obtained for the formation energy is 904 meV/atom. The total magnetization comes out at 0.00 μB per formula unit.

---

No. 4
Material: LaC
Method: DFT, GGA-PBE
State: optimized geometry

It has space group Pnma (No. 62), with a = 9.793 Å, b = 4.900 Å, c = 6.845 Å, α = 90.00°, β = 90.00° and γ = 90.00°. The distinct sites, in fractional coordinates, are La at (0.065, 0.250, 0.227), La at (0.171, 0.250, 0.688), C at (0.089, 0.750, 0.434) and C at (0.208, 0.750, 0.534).

The value obtained for the formation energy is -26 meV/atom. The total magnetization comes out at 0.00 μB per formula unit. The calculation puts the distance to the lowest polymorph of the same formula at 0.150 eV per atom.

---

No. 5
Material: La3C2
Method: DFT, GGA-PBE
State: optimized geometry

It has space group R-3c (No. 167, hexagonal axes), with a = 6.5919 Å, b = 6.5919 Å, c = 18.8734 Å, α = 90.00°, β = 90.00° and γ = 120.00°. The distinct sites, in fractional coordinates, are La at (0.0000, 0.3097, 0.2500) and C at (0.0000, 0.0000, 0.1579).

The value obtained for the formation energy is 36 meV/atom. The total magnetization comes out at 0.00 μB per formula unit.

---

No. 6
Material: LaC
Method: DFT, GGA-PBE
State: optimized geometry

It has space group R-3m (No. 166, hexagonal axes), with a = 5.0894 Å, b = 5.0894 Å, c = 4.8172 Å, α = 90.00°, β = 90.00° and γ = 120.00°. The distinct sites, in fractional coordinates, are La at (0.0000, 0.0000, 0.0000) and C at (0.0000, 0.0000, 0.5000).

The value obtained for the formation energy is 604 meV/atom. The total magnetization comes out at 0.00 μB per formula unit. The calculation puts the distance to the lowest polymorph of the same formula at 0.781 eV per atom.

---

No. 7
Material: LaC
Method: DFT, GGA-PBE
State: optimized geometry

It has space group F-43m (No. 216), with a = 5.771 Å, b = 5.771 Å, c = 5.771 Å, α = 90.00°, β = 90.00° and γ = 90.00°. The distinct sites, in fractional coordinates, are La at (0.000, 0.000, 0.000) and C at (0.250, 0.250, 0.250).

The value obtained for the formation energy is 520 meV/atom. The total magnetization comes out at 0.00 μB per formula unit. The calculation puts the distance to the lowest polymorph of the same formula at 0.697 eV per atom.

---

No. 8
Material: LaC
Method: DFT, GGA-PBE
State: optimized geometry

It has space group Pm (No. 6), with a = 3.897 Å, b = 4.155 Å, c = 5.501 Å, α = 90.00°, β = 101.48° and γ = 90.00°. The distinct sites, in fractional coordinates, are La at (0.000, 0.000, 0.000), La at (0.355, 0.500, 0.517), C at (0.501, 0.500, 0.011) and C at (0.766, 0.500, 0.210).

The value obtained for the formation energy is -73 meV/atom. The total magnetization comes out at 0.00 μB per formula unit. The calculation puts the distance to the lowest polymorph of the same formula at 0.103 eV per atom.

---

No. 9
Material: LaC
Method: DFT, GGA-PBE
State: optimized geometry

It has space group I-43m (No. 217), with a = 7.780 Å, b = 7.780 Å, c = 7.780 Å, α = 90.00°, β = 90.00° and γ = 90.00°. The distinct sites, in fractional coordinates, are La at (0.169, 0.169, 0.831) and C at (0.155, 0.155, 0.155).

The value obtained for the formation energy is 633 meV/atom. The total magnetization comes out at 0.00 μB per formula unit. The calculation puts the distance to the lowest polymorph of the same formula at 0.809 eV per atom.

---

No. 10
Material: LaC
Method: DFT, GGA-PBE
State: optimized geometry

It has space group P6_3/mmc (No. 194), with a = 4.2471 Å, b = 4.2471 Å, c = 5.8758 Å, α = 90.00°, β = 90.00° and γ = 120.00°. The distinct sites, in fractional coordinates, are La at (0.3333, 0.6667, 0.2500) and C at (0.3333, 0.6667, 0.7500).

The value obtained for the formation energy is 410 meV/atom. The total magnetization comes out at 0.00 μB per formula unit. The calculation puts the distance to the lowest polymorph of the same formula at 0.587 eV per atom.

---

No. 11
Material: LaC
Method: DFT, GGA-PBE
State: optimized geometry

It has space group P6_3/m (No. 176), with a = 9.5743 Å, b = 9.5743 Å, c = 4.2700 Å, α = 90.00°, β = 90.00° and γ = 120.00°. The distinct sites, in fractional coordinates, are La at (0.0750, 0.6808, 0.2500) and C at (0.0680, 0.3994, 0.2500).

The value obtained for the formation energy is 573 meV/atom. The total magnetization comes out at 0.00 μB per formula unit. The calculation puts the distance to the lowest polymorph of the same formula at 0.750 eV per atom.

---

No. 12
Material: LaC2
Method: DFT, GGA-PBE
State: optimized geometry

It has space group C2/c (No. 15), with a = 6.839 Å, b = 4.410 Å, c = 7.110 Å, α = 90.00°, β = 105.22° and γ = 90.00°. The distinct sites, in fractional coordinates, are La at (0.000, 0.198, 0.250) and C at (0.205, 0.364, 0.950).

The value obtained for the formation energy is -168 meV/atom. The total magnetization comes out at 0.00 μB per formula unit. The calculation puts the distance to the lowest polymorph of the same formula at 0.000 eV per atom.

---

No. 13
Material: LaC
Method: DFT, GGA-PBE
State: optimized geometry

It has space group I4/mmm (No. 139), with a = 3.953 Å, b = 3.953 Å, c = 9.633 Å, α = 90.00°, β = 90.00° and γ = 90.00°. The distinct sites, in fractional coordinates, are La at (0.000, 0.000, 0.155) and C at (0.000, 0.000, 0.429).

The value obtained for the formation energy is 180 meV/atom. The total magnetization comes out at 0.00 μB per formula unit. The calculation puts the distance to the lowest polymorph of the same formula at 0.357 eV per atom.

---

No. 14
Material: LaC
Method: DFT, GGA-PBE
State: optimized geometry

It has space group P-1 (No. 2), with a = 3.801 Å, b = 4.322 Å, c = 7.037 Å, α = 79.34°, β = 75.56° and γ = 64.79°. The distinct sites, in fractional coordinates, are La at (0.225, 0.245, 0.287) and C at (0.440, 0.661, 0.454).

The value obtained for the formation energy is -177 meV/atom. The total magnetization comes out at 0.00 μB per formula unit. The calculation puts the distance to the lowest polymorph of the same formula at 0.000 eV per atom.

---

No. 15
Material: LaC
Method: DFT, GGA-PBE
State: optimized geometry

It has space group Fm-3m (No. 225), with a = 5.433 Å, b = 5.433 Å, c = 5.433 Å, α = 90.00°, β = 90.00° and γ = 90.00°. The distinct sites, in fractional coordinates, are La at (0.000, 0.000, 0.000) and C at (0.000, 0.000, 0.500).

The value obtained for the formation energy is 380 meV/atom. The total magnetization comes out at 0.51 μB per formula unit. The calculation puts the distance to the lowest polymorph of the same formula at 0.556 eV per atom.

---

No. 16
Material: LaC
Method: DFT, GGA-PBE
State: optimized geometry

It has space group Pmmn (No. 59, origin choice 2), with a = 5.057 Å, b = 10.823 Å, c = 5.169 Å, α = 90.00°, β = 90.00° and γ = 90.00°. The distinct sites, in fractional coordinates, are La at (0.250, 0.091, 0.147), La at (0.250, 0.750, 0.424), C at (0.250, 0.625, 0.991) and C at (0.250, 0.750, 0.935).

The value obtained for the formation energy is -31 meV/atom. The total magnetization comes out at 0.00 μB per formula unit. The calculation puts the distance to the lowest polymorph of the same formula at 0.146 eV per atom.

---

No. 17
Material: LiLa2C
Method: DFT, GGA-PBE
State: optimized geometry

It has space group R-3m (No. 166, hexagonal axes), with a = 3.6617 Å, b = 3.6617 Å, c = 30.1517 Å, α = 90.00°, β = 90.00° and γ = 120.00°. The distinct sites, in fractional coordinates, are Li at (0.0000, 0.0000, 0.0000), La at (0.0000, 0.0000, 0.1184) and C at (0.0000, 0.0000, 0.5000).

The value obtained for the formation energy is -5 meV/atom. The total magnetization comes out at 0.00 μB per formula unit.

---

No. 18
Material: LiLaC2
Method: DFT, GGA-PBE
State: optimized geometry

It has space group Fm-3m (No. 225), with a = 6.094 Å, b = 6.094 Å, c = 6.094 Å, α = 90.00°, β = 90.00° and γ = 90.00°. The distinct sites, in fractional coordinates, are Li at (0.000, 0.000, 0.000), La at (0.000, 0.000, 0.500) and C at (0.250, 0.250, 0.250).

The value obtained for the formation energy is 978 meV/atom. The total magnetization comes out at 0.00 μB per formula unit. The calculation puts the distance to the lowest polymorph of the same formula at 0.211 eV per atom.

---

No. 19
Material: Li3La12C5
Method: DFT, GGA-PBE
State: optimized geometry

It has space group Ia-3d (No. 230), with a = 16.758 Å, b = 16.758 Å, c = 16.758 Å, α = 90.00°, β = 90.00° and γ = 90.00°. The distinct sites, in fractional coordinates, are Li at (0.000, 0.250, 0.125), La at (0.036, 0.051, 0.647), C at (0.000, 0.000, 0.000) and C at (0.000, 0.250, 0.375).

The value obtained for the formation energy is 153 meV/atom. The total magnetization comes out at 0.00 μB per formula unit.